[1]
# AlZnInGa (PBE-GGA, optimized geometry)
# - Total moment: 0.0 μB/cell
# - Energy of formation from the pure elements: 0.18 eV per atom
# - Space-group type: F-43m, No. 216
data_AlZnInGa
_cell_length_a 4.8307
_cell_length_b 4.8307
_cell_length_c 4.8307
_cell_angle_alpha 60.00
_cell_angle_beta 60.00
_cell_angle_gamma 60.00
_space_group_name_H-M_alt 'P 1'
_space_group_IT_number 1
_space_group_name_Hall 'P 1'
loop_
_atom_site_label
_atom_site_type_symbol
_atom_site_fract_x
_atom_site_fract_y
_atom_site_fract_z
In1 In 0.5000 0.5000 0.5000
Al1 Al 0.0000 0.0000 0.0000
Ga1 Ga 0.2500 0.2500 0.2500
Zn1 Zn 0.7500 0.7500 0.7500



[2]
# AlZnIn2Ga (PBE-GGA, optimized geometry)
# - Total moment: 0.0 μB/cell
# - Energy of formation from the pure elements: 0.43 eV per atom
# - Space-group type: P4/mmm, No. 123
data_AlZnIn2Ga
_cell_length_a 5.4224
_cell_length_b 4.8559
_cell_length_c 5.4224
_cell_angle_alpha 90.00
_cell_angle_beta 90.00
_cell_angle_gamma 90.00
_space_group_name_H-M_alt 'P 1'
_space_group_IT_number 1
_space_group_name_Hall 'P 1'
loop_
_atom_site_label
_atom_site_type_symbol
_atom_site_fract_x
_atom_site_fract_y
_atom_site_fract_z
Ga1 Ga 0.0000 0.5000 0.0000
Zn1 Zn 0.5000 0.5000 0.5000
In1 In 0.0000 0.0000 0.5000
In2 In 0.5000 0.0000 0.0000
Al1 Al 0.0000 0.0000 0.0000



[3]
# ZrAlInGa2 (PBE-GGA, optimized geometry)
# - Total moment: 0.0 μB/cell
# - Energy of formation from the pure elements: 0.85 eV per atom
# - Excess energy over the best structure of this formula in the dataset: 470 meV/atom
# - Space-group type: P4/mmm, No. 123
data_ZrAlInGa2
_cell_length_a 4.9696
_cell_length_b 5.5992
_cell_length_c 4.9696
_cell_angle_alpha 90.00
_cell_angle_beta 90.00
_cell_angle_gamma 90.00
_space_group_name_H-M_alt 'P 1'
_space_group_IT_number 1
_space_group_name_Hall 'P 1'
loop_
_atom_site_label
_atom_site_type_symbol
_atom_site_fract_x
_atom_site_fract_y
_atom_site_fract_z
Ga1 Ga 0.0000 0.0000 0.5000
Ga2 Ga 0.5000 0.0000 0.0000
Zr1 Zr 0.0000 0.5000 0.0000
In1 In 0.0000 0.0000 0.0000
Al1 Al 0.5000 0.5000 0.5000



[4]
# ZrAlInGa2 (PBE-GGA, optimized geometry)
# - Total moment: 0.0 μB/cell
# - Energy of formation from the pure elements: 0.38 eV per atom
# - Excess energy over the best structure of this formula in the dataset: 0 meV/atom
# - Space-group type: P4/mmm, No. 123
data_ZrAlInGa2
_cell_length_a 4.7568
_cell_length_b 5.2917
_cell_length_c 4.7568
_cell_angle_alpha 90.00
_cell_angle_beta 90.00
_cell_angle_gamma 90.00
_space_group_name_H-M_alt 'P 1'
_space_group_IT_number 1
_space_group_name_Hall 'P 1'
loop_
_atom_site_label
_atom_site_type_symbol
_atom_site_fract_x
_atom_site_fract_y
_atom_site_fract_z
Ga1 Ga 0.5000 0.0000 0.0000
Ga2 Ga 0.0000 0.0000 0.5000
Al1 Al 0.0000 0.0000 0.0000
Zr1 Zr 0.0000 0.5000 0.0000
In1 In 0.5000 0.5000 0.5000



[5]
# AlGa5Ir6 (PBE-GGA, optimized geometry)
# - Total moment: 0.0 μB/cell
# - Energy of formation from the pure elements: -0.48 eV per atom
# - Space-group type: C2/m, No. 12
data_AlGa5Ir6
_cell_length_a 4.3195
_cell_length_b 7.4597
_cell_length_c 7.4597
_cell_angle_alpha 119.80
_cell_angle_beta 106.77
_cell_angle_gamma 106.77
_space_group_name_H-M_alt 'P 1'
_space_group_IT_number 1
_space_group_name_Hall 'P 1'
loop_
_atom_site_label
_atom_site_type_symbol
_atom_site_fract_x
_atom_site_fract_y
_atom_site_fract_z
Ga1 Ga 0.5000 0.1656 0.8344
Ga2 Ga 0.5000 0.8344 0.1656
Ga3 Ga 0.0000 0.6668 0.3332
Ga4 Ga 0.0000 0.3332 0.6668
Ga5 Ga 0.5000 0.5000 0.5000
Ir1 Ir 0.7510 0.9169 0.5848
Ir2 Ir 0.2518 0.7515 0.7515
Ir3 Ir 0.2490 0.4152 0.0831
Ir4 Ir 0.7482 0.2485 0.2485
Ir5 Ir 0.2490 0.0831 0.4152
Ir6 Ir 0.7510 0.5848 0.9169
Al1 Al 0.0000 0.0000 0.0000



[6]
# AlGaIr2 (PBE-GGA, optimized geometry)
# - Total moment: 0.0 μB/cell
# - Energy of formation from the pure elements: -0.01 eV per atom
# - Space-group type: I-42d, No. 122
data_AlGaIr2
_cell_length_a 3.9706
_cell_length_b 3.9706
_cell_length_c 8.8117
_cell_angle_alpha 76.98
_cell_angle_beta 76.98
_cell_angle_gamma 90.00
_space_group_name_H-M_alt 'P 1'
_space_group_IT_number 1
_space_group_name_Hall 'P 1'
loop_
_atom_site_label
_atom_site_type_symbol
_atom_site_fract_x
_atom_site_fract_y
_atom_site_fract_z
Ir1 Ir 0.6174 0.1250 0.2500
Ir2 Ir 0.8750 0.8674 0.7500
Ir3 Ir 0.3750 0.3826 0.7500
Ir4 Ir 0.1326 0.6250 0.2500
Al1 Al 0.2500 0.7500 0.5000
Al2 Al 0.5000 0.5000 0.0000
Ga1 Ga 0.7500 0.2500 0.5000
Ga2 Ga 0.0000 0.0000 0.0000



[7]
# Al5GaIr6 (PBE-GGA, optimized geometry)
# - Total moment: 0.0 μB/cell
# - Energy of formation from the pure elements: -0.84 eV per atom
# - Space-group type: P2/m, No. 10
data_Al5GaIr6
_cell_length_a 4.2965
_cell_length_b 5.9962
_cell_length_c 6.8406
_cell_angle_alpha 90.00
_cell_angle_beta 70.54
_cell_angle_gamma 90.00
_space_group_name_H-M_alt 'P 1'
_space_group_IT_number 1
_space_group_name_Hall 'P 1'
loop_
_atom_site_label
_atom_site_type_symbol
_atom_site_fract_x
_atom_site_fract_y
_atom_site_fract_z
Ir1 Ir 0.8330 0.2507 0.3345
Ir2 Ir 0.5000 0.7489 0.0000
Ir3 Ir 0.1670 0.2507 0.6655
Ir4 Ir 0.1670 0.7493 0.6655
Ir5 Ir 0.8330 0.7493 0.3345
Ir6 Ir 0.5000 0.2511 0.0000
Al1 Al 0.3328 0.0000 0.3349
Al2 Al 0.6666 0.5000 0.6664
Al3 Al 0.0000 0.5000 0.0000
Al4 Al 0.6672 0.0000 0.6651
Al5 Al 0.3334 0.5000 0.3336
Ga1 Ga 0.0000 0.0000 0.0000



[8]
# AlGaIr (PBE-GGA, optimized geometry)
# - Total moment: 0.0 μB/cell
# - Energy of formation from the pure elements: -0.54 eV per atom
# - Space-group type: F-43m, No. 216
data_AlGaIr
_cell_length_a 4.1850
_cell_length_b 4.1850
_cell_length_c 4.1850
_cell_angle_alpha 60.00
_cell_angle_beta 60.00
_cell_angle_gamma 60.00
_space_group_name_H-M_alt 'P 1'
_space_group_IT_number 1
_space_group_name_Hall 'P 1'
loop_
_atom_site_label
_atom_site_type_symbol
_atom_site_fract_x
_atom_site_fract_y
_atom_site_fract_z
Ga1 Ga 0.5000 0.5000 0.5000
Al1 Al 0.0000 0.0000 0.0000
Ir1 Ir 0.2500 0.2500 0.2500